A relaxed structure of Rb2CuRe. Source: the Alexandria database, functional PBE.

Calculated values
Theoretical density   4.70 g/cm³
M_tot   4.07 Bohr magnetons per cell
Offset from the most stable computed form   0.3648 eV per atom
Formation enthalpy at 0 K   7.217 eV/f.u.
Final energy   -2.8157 eV/atom

Unit cell a=5.9473 b=5.9473 c=5.9473 alpha=60.00 beta=60.00 gamma=60.00
Last column: nearest neighbours and their distance in Å.
Sites, in units of the cell vectors:
Rb (0.2500, 0.2500, 0.2500)  4 Re 3.64, 4 Cu 3.64
Rb (0.7500, 0.7500, 0.7500)  4 Re 3.64, 4 Cu 3.64
Cu (0.0000, 0.0000, 0.0000)  8 Rb 3.64
Re (0.5000, 0.5000, 0.5000)  8 Rb 3.64